Record 1
AlTc2Pt | PBEsol | optimized geometry

Summary:
- calculated density (g/cm³) = 12.254
- VASP energy (eV per atom) = -8.644
- M_tot (μB/f.u.) = 0.00
- ΔE_f (kJ/mol of atoms) = -24
- excess energy over the best structure of this formula in the dataset (eV/atom) = 0.033

a = 2.7472 Å, b = 4.5489 Å, c = 4.8045 Å
α = 99.62°, β = 106.61°, γ = 90.00°
Closest atoms and distances in Å follow each position.
Element x y z (fractional)
Tc 0.2517 0.2448 0.5034  6 Tc 2.61-2.75, 3 Al 2.71-2.76, 3 Pt 2.75-2.77
Tc 0.7483 0.7552 0.4966  6 Tc 2.61-2.75, 3 Al 2.71-2.76, 3 Pt 2.75-2.77
Pt 0.0000 0.5000 0.0000  4 Al 2.66, 6 Tc 2.75-2.77, 2 Pt 2.75
Al 0.5000 0.0000 0.0000  4 Pt 2.66, 6 Tc 2.71-2.76, 2 Al 2.75



Record 2
AlTcPt2 | PBEsol | optimized geometry

Summary:
- calculated density (g/cm³) = 15.049
- VASP energy (eV per atom) = -7.828
- M_tot (μB/f.u.) = 0.00
- ΔE_f (kJ/mol of atoms) = -49
- excess energy over the best structure of this formula in the dataset (eV/atom) = 0.000

a = 2.7338 Å, b = 2.7338 Å, c = 7.6054 Å
α = 90.00°, β = 90.00°, γ = 90.00°
Closest atoms and distances in Å follow each position.
Element x y z (fractional)
Tc 0.5000 0.5000 0.0000  4 Tc 2.73, 8 Pt 2.76
Pt 0.0000 0.0000 0.7409  4 Al 2.66, 4 Pt 2.73, 4 Tc 2.76
Pt 0.0000 0.0000 0.2591  4 Al 2.66, 4 Pt 2.73, 4 Tc 2.76
Al 0.5000 0.5000 0.5000  8 Pt 2.66, 4 Al 2.73



Record 3
AlTc2Pt | PBEsol | optimized geometry

Summary:
- calculated density (g/cm³) = 12.184
- VASP energy (eV per atom) = -8.677
- M_tot (μB/f.u.) = 0.00
- ΔE_f (kJ/mol of atoms) = -27
- excess energy over the best structure of this formula in the dataset (eV/atom) = 0.000

a = 2.7189 Å, b = 4.6045 Å, c = 4.8110 Å
α = 97.70°, β = 90.00°, γ = 107.17°
Closest atoms and distances in Å follow each position.
Element x y z (fractional)
Tc 0.0026 0.0051 0.9677  5 Tc 2.49-2.72, 2 Al 2.71
Tc 0.2509 0.5019 0.7763  5 Tc 2.49-2.72, 1 Al 2.75, 4 Pt 2.76-2.77
Pt 0.7500 0.5001 0.2777  3 Al 2.55-2.63, 2 Pt 2.72, 7 Tc 2.76-2.84
Al 0.4964 0.9929 0.4783  3 Pt 2.55-2.63, 7 Tc 2.71-2.83, 2 Al 2.72



Record 4
AlTcPt2 | PBEsol | optimized geometry

Summary:
- calculated density (g/cm³) = 14.899
- VASP energy (eV per atom) = -7.709
- M_tot (μB/f.u.) = 0.00
- ΔE_f (kJ/mol of atoms) = -37
- excess energy over the best structure of this formula in the dataset (eV/atom) = 0.119

a = 2.7844 Å, b = 2.7844 Å, c = 8.7013 Å
α = 80.79°, β = 80.79°, γ = 60.00°
Closest atoms and distances in Å follow each position.
Element x y z (fractional)
Tc 0.5000 0.5000 0.5000  6 Pt 2.75, 6 Tc 2.78
Pt 0.2534 0.2534 0.2398  3 Al 2.61, 3 Tc 2.75, 6 Pt 2.78
Pt 0.7466 0.7466 0.7602  3 Al 2.61, 3 Tc 2.75, 6 Pt 2.78
Al 0.0000 0.0000 0.0000  6 Pt 2.61, 6 Al 2.78



Record 5
AlTcPt2 | PBEsol | optimized geometry

Summary:
- calculated density (g/cm³) = 14.741
- VASP energy (eV per atom) = -7.661
- M_tot (μB/f.u.) = 0.00
- ΔE_f (kJ/mol of atoms) = -33
- excess energy over the best structure of this formula in the dataset (eV/atom) = 0.167

a = 2.7652 Å, b = 4.4962 Å, c = 5.3620 Å
α = 114.79°, β = 104.94°, γ = 90.00°
Closest atoms and distances in Å follow each position.
Element x y z (fractional)
Tc 0.4796 0.4796 0.9591  2 Al 2.55, 6 Pt 2.68-2.81, 2 Tc 2.77
Pt 0.0288 0.0288 0.0577  2 Al 2.48, 4 Tc 2.68, 2 Pt 2.77
Pt 0.2421 0.7421 0.4842  4 Al 2.64, 2 Pt 2.77, 2 Tc 2.81
Al 0.7495 0.2495 0.4990  6 Pt 2.48-2.64, 2 Tc 2.55, 2 Al 2.77



Record 6
AlTc2Pt | PBEsol | optimized geometry

Summary:
- calculated density (g/cm³) = 12.230
- VASP energy (eV per atom) = -8.642
- M_tot (μB/f.u.) = 0.00
- ΔE_f (kJ/mol of atoms) = -24
- excess energy over the best structure of this formula in the dataset (eV/atom) = 0.034

a = 3.6480 Å, b = 3.6480 Å, c = 4.2652 Å
α = 90.00°, β = 90.00°, γ = 90.00°
Closest atoms and distances in Å follow each position.
Element x y z (fractional)
Tc 0.0000 0.5000 0.0000  4 Tc 2.58, 4 Al 2.81, 4 Pt 2.81
Tc 0.5000 0.0000 0.0000  4 Tc 2.58, 4 Al 2.81, 4 Pt 2.81
Pt 0.0000 0.0000 0.5000  4 Al 2.58, 8 Tc 2.81
Al 0.5000 0.5000 0.5000  4 Pt 2.58, 8 Tc 2.81



Record 7
Al3TcPt | PBEsol | optimized geometry

Summary:
- calculated density (g/cm³) = 6.277
- VASP energy (eV per atom) = -5.537
- M_tot (μB/f.u.) = 2.93
- ΔE_f (kJ/mol of atoms) = 54

a = 4.6253 Å, b = 4.6253 Å, c = 4.6253 Å
α = 90.00°, β = 90.00°, γ = 90.00°
Closest atoms and distances in Å follow each position.
Element x y z (fractional)
Tc 0.5000 0.5000 0.5000  12 Al 3.27
Pt 0.0000 0.0000 0.0000  6 Al 2.31
Al 0.0000 0.5000 0.0000  2 Pt 2.31
Al 0.0000 0.0000 0.5000  2 Pt 2.31
Al 0.5000 0.0000 0.0000  2 Pt 2.31



Record 8
AlTc2Pt | PBEsol | optimized geometry

Summary:
- calculated density (g/cm³) = 12.117
- VASP energy (eV per atom) = -8.446
- M_tot (μB/f.u.) = 0.00
- ΔE_f (kJ/mol of atoms) = -5
- excess energy over the best structure of this formula in the dataset (eV/atom) = 0.231

a = 2.7238 Å, b = 4.5862 Å, c = 4.5862 Å
α = 90.00°, β = 90.00°, γ = 90.00°
Closest atoms and distances in Å follow each position.
Element x y z (fractional)
Tc 0.0000 0.0000 0.5000  4 Al 2.67, 4 Pt 2.67, 2 Tc 2.72
Tc 0.0000 0.5000 0.0000  4 Al 2.67, 4 Pt 2.67, 2 Tc 2.72
Pt 0.5000 0.0000 0.0000  8 Tc 2.67, 2 Pt 2.72
Al 0.5000 0.5000 0.5000  8 Tc 2.67, 2 Al 2.72



Record 9
Al2TePt2 | PBEsol | optimized geometry

Summary:
- calculated density (g/cm³) = 11.193
- VASP energy (eV per atom) = -5.587
- M_tot (μB/f.u.) = 0.00
- raw formation energy (eV/atom) = -0.4600

a = 2.8255 Å, b = 7.7484 Å, c = 7.7484 Å
α = 90.00°, β = 90.00°, γ = 90.00°
Closest atoms and distances in Å follow each position.
Element x y z (fractional)
Te 0.0000 0.0000 0.0000  2 Te 2.83, 4 Al 2.94
Te 0.0000 0.5000 0.5000  2 Te 2.83, 4 Al 2.94
Al 0.0000 0.3481 0.8481  6 Pt 2.64-2.72, 2 Al 2.83, 2 Te 2.94
Al 0.0000 0.8481 0.6519  6 Pt 2.64-2.72, 2 Al 2.83, 2 Te 2.94
Al 0.0000 0.6519 0.1519  6 Pt 2.64-2.72, 2 Al 2.83, 2 Te 2.94
Al 0.0000 0.1519 0.3481  6 Pt 2.64-2.72, 2 Al 2.83, 2 Te 2.94
Pt 0.5000 0.1358 0.6358  6 Al 2.64-2.72, 2 Pt 2.83
Pt 0.5000 0.6358 0.8642  6 Al 2.64-2.72, 2 Pt 2.83
Pt 0.5000 0.8642 0.3642  6 Al 2.64-2.72, 2 Pt 2.83
Pt 0.5000 0.3642 0.1358  6 Al 2.64-2.72, 2 Pt 2.83



Record 10
AlTePt2 | PBEsol | optimized geometry

Summary:
- calculated density (g/cm³) = 12.233
- VASP energy (eV per atom) = -5.754
- M_tot (μB/f.u.) = 0.00
- raw formation energy (eV/atom) = -0.3673
- excess energy over the best structure of this formula in the dataset (eV/atom) = 0.000

a = 3.0709 Å, b = 3.8183 Å, c = 6.7653 Å
α = 106.39°, β = 103.12°, γ = 90.00°
Closest atoms and distances in Å follow each position.
Element x y z (fractional)
Te 0.5469 0.5469 0.0938  6 Pt 2.81-2.89, 2 Te 3.07
Al 0.7937 0.2937 0.5873  6 Pt 2.54-2.57
Pt 0.9260 0.9260 0.8520  2 Al 2.54
Pt 0.2334 0.7334 0.4669  4 Al 2.57, 2 Te 2.81



Record 11
AlTePt | PBEsol | optimized geometry

Summary:
- calculated density (g/cm³) = 9.280
- VASP energy (eV per atom) = -5.222
- M_tot (μB/f.u.) = 0.00
- raw formation energy (eV/atom) = -0.3613
- excess energy over the best structure of this formula in the dataset (eV/atom) = 0.071

a = 4.4560 Å, b = 4.4560 Å, c = 4.4560 Å
α = 60.00°, β = 60.00°, γ = 60.00°
Closest atoms and distances in Å follow each position.
Element x y z (fractional)
Te 0.0000 0.0000 0.0000  4 Pt 2.73
Al 0.5000 0.5000 0.5000  4 Pt 2.73
Pt 0.2500 0.2500 0.2500  4 Te 2.73, 4 Al 2.73



Record 12
AlTePt | PBEsol | optimized geometry

Summary:
- calculated density (g/cm³) = 9.458
- VASP energy (eV per atom) = -5.191
- M_tot (μB/f.u.) = 0.00
- raw formation energy (eV/atom) = -0.3311
- excess energy over the best structure of this formula in the dataset (eV/atom) = 0.101

a = 3.7389 Å, b = 3.7389 Å, c = 5.0711 Å
α = 90.00°, β = 90.00°, γ = 120.00°
Closest atoms and distances in Å follow each position.
Element x y z (fractional)
Te 0.3333 0.6667 0.3643  3 Pt 2.74, 3 Al 3.05
Al 0.0000 0.0000 0.9393  3 Pt 2.49
Pt 0.6667 0.3333 0.6965  3 Al 2.49, 3 Te 2.74



Record 13
AlTePt2 | PBEsol | optimized geometry

Summary:
- calculated density (g/cm³) = 13.019
- VASP energy (eV per atom) = -5.324
- M_tot (μB/f.u.) = 0.00
- raw formation energy (eV/atom) = 0.0622
- excess energy over the best structure of this formula in the dataset (eV/atom) = 0.430

a = 4.6146 Å, b = 4.6146 Å, c = 4.6146 Å
α = 60.00°, β = 60.00°, γ = 60.00°
Closest atoms and distances in Å follow each position.
Element x y z (fractional)
Te 0.2500 0.2500 0.2500  4 Pt 2.83, 4 Al 2.83
Al 0.5000 0.5000 0.5000  4 Pt 2.83, 4 Te 2.83
Pt 0.0000 0.0000 0.0000  4 Te 2.83, 4 Pt 2.83
Pt 0.7500 0.7500 0.7500  4 Pt 2.83, 4 Al 2.83



Record 14
AlTePt2 | PBEsol | optimized geometry

Summary:
- calculated density (g/cm³) = 13.207
- VASP energy (eV per atom) = -5.599
- M_tot (μB/f.u.) = 0.00
- raw formation energy (eV/atom) = -0.2124
- excess energy over the best structure of this formula in the dataset (eV/atom) = 0.155

a = 3.6358 Å, b = 4.3403 Å, c = 4.3403 Å
α = 90.00°, β = 90.00°, γ = 90.00°
Closest atoms and distances in Å follow each position.
Element x y z (fractional)
Te 0.5000 0.5000 0.5000  8 Pt 2.83, 4 Al 3.07
Al 0.5000 0.0000 0.0000  8 Pt 2.83, 4 Te 3.07
Pt 0.0000 0.0000 0.5000  4 Te 2.83, 4 Al 2.83, 4 Pt 3.07
Pt 0.0000 0.5000 0.0000  4 Al 2.83, 4 Te 2.83, 4 Pt 3.07



Record 15
AlTePt | PBEsol | optimized geometry

Summary:
- calculated density (g/cm³) = 9.120
- VASP energy (eV per atom) = -5.293
- M_tot (μB/f.u.) = 0.00
- raw formation energy (eV/atom) = -0.4322
- excess energy over the best structure of this formula in the dataset (eV/atom) = 0.000

a = 3.0877 Å, b = 3.0877 Å, c = 7.0256 Å
α = 102.69°, β = 102.69°, γ = 90.00°
Closest atoms and distances in Å follow each position.
Element x y z (fractional)
Te 0.3320 0.3320 0.6640  1 Al 2.73, 1 Pt 2.78
Al 0.1275 0.1275 0.2550  4 Pt 2.47, 1 Te 2.73
Pt 0.5405 0.5405 0.0810  4 Al 2.47